VASP calculation (GGA-PBE) on a geometry-optimized Rb5OsO6 structure.

## Properties
Mass density (Mg/m³): 5.30
Total magnetization (μB/cell): 1.0
Energy (eV per cell): -61.5
Calculated volume (A^3/atom): 18.65

The structure in extended XYZ format:
```
12
Lattice="3.299 -5.661 0.000 3.299 5.661 0.000 -2.235 0.000 5.990" Properties=species:S:1:pos:R:3 pbc="T T T"
Rb 3.299 3.775 0.000
Rb -1.118 0.000 2.995
Rb 2.182 -1.895 2.995
Rb 3.299 -3.775 0.000
Rb 2.182 1.895 2.995
Os 3.299 0.000 0.000
O 4.084 1.364 1.124
O 0.280 1.364 4.866
O 4.084 -1.364 1.124
O 1.721 0.000 1.112
O 2.642 0.000 4.877
O 0.280 -1.364 4.866
```